Record 1
Material: ZrBr5
Method: DFT, GGA-PBE
State: optimized geometry

As for the uncorrected formation energy: -0.52 eV/atom.

The structure belongs to space group Cmmm (No. 65); the cell edges are 3.377, 23.456 and 5.248 Å and the angles 90.00°, 90.00° and 90.00°. The inequivalent atoms are Zr at (0.000, 0.000, 0.000), Br at (0.000, 0.202, 0.500), Br at (0.000, 0.409, 0.000) and Br at (0.000, 0.500, 0.500).

Record 2
Material: Zr7Br6
Method: DFT, GGA-PBE
State: optimized geometry

As for the uncorrected formation energy: -0.29 eV/atom.

The structure belongs to space group R-3m (No. 166, hexagonal axes); the cell edges are 5.8769, 5.8769 and 36.0574 Å and the angles 90.00°, 90.00° and 120.00°. The inequivalent atoms are Zr at (0.0000, 0.0000, 0.0000), Zr at (0.0032, 0.5016, 0.5915), Br at (0.0000, 0.0000, 0.1372), Br at (0.0000, 0.0000, 0.3191) and Br at (0.0000, 0.0000, 0.4194).

Record 3
Material: ZrBr
Method: DFT, GGA-PBE
State: optimized geometry

As for the uncorrected formation energy: -0.05 eV/atom. The calculation puts the energy above the most stable polymorph in this dataset at 1.88 eV/f.u.

The structure belongs to space group R-3m (No. 166, hexagonal axes); the cell edges are 4.5948, 4.5948 and 16.3899 Å and the angles 90.00°, 90.00° and 120.00°. The inequivalent atoms are Zr at (0.0000, 0.0000, 0.0919) and Br at (0.0000, 0.0000, 0.3939).

Record 4
Material: ZrBr5
Method: DFT, GGA-PBE
State: optimized geometry

As for the uncorrected formation energy: -0.34 eV/atom.

The structure belongs to space group P4/mmm (No. 123); the cell edges are 3.218, 3.218 and 17.606 Å and the angles 90.00°, 90.00° and 90.00°. The inequivalent atoms are Zr at (0.000, 0.000, 0.000), Br at (0.000, 0.000, 0.268), Br at (0.500, 0.500, 0.096) and Br at (0.500, 0.500, 0.500).

Record 5
Material: Zr2Br3
Method: DFT, GGA-PBE
State: optimized geometry

As for the uncorrected formation energy: -0.86 eV/atom.

The structure belongs to space group R-3m (No. 166, hexagonal axes); the cell edges are 3.4189, 3.4189 and 37.2568 Å and the angles 90.00°, 90.00° and 120.00°. The inequivalent atoms are Zr at (0.0000, 0.0000, 0.1056), Br at (0.0000, 0.0000, 0.2792) and Br at (0.0000, 0.0000, 0.5000).

Record 6
Material: ZrBr
Method: DFT, GGA-PBE
State: optimized geometry

As for the uncorrected formation energy: -0.63 eV/atom. The calculation puts the energy above the most stable polymorph in this dataset at 0.73 eV/f.u.

The structure belongs to space group Cm (No. 8); the cell edges are 12.245, 3.342 and 7.937 Å and the angles 90.00°, 113.34° and 90.00°. The inequivalent atoms are Zr at (0.000, 0.000, 0.000), Zr at (0.072, 0.500, 0.694), Zr at (0.311, 0.000, 0.707), Br at (0.069, 0.500, 0.307), Br at (0.219, 0.000, 0.976) and Br at (0.378, 0.500, 0.467).

Record 7
Material: ZrBr
Method: DFT, GGA-PBE
State: optimized geometry

As for the uncorrected formation energy: -0.72 eV/atom. The calculation puts the energy above the most stable polymorph in this dataset at 0.54 eV/f.u.

The structure belongs to space group P4/nmm (No. 129, origin choice 2); the cell edges are 3.301, 3.301 and 9.568 Å and the angles 90.00°, 90.00° and 90.00°. The inequivalent atoms are Zr at (0.250, 0.250, 0.123) and Br at (0.250, 0.250, 0.694).

Record 8
Material: C
Method: DFT, GGA-PBE
State: optimized geometry

The value obtained for the formation energy is 0.83 eV/atom. The calculation puts the energy above the most stable polymorph in this dataset at 0.83 eV/f.u.

The structure belongs to space group P-1 (No. 2); the cell edges are 2.438, 3.709 and 4.253 Å and the angles 66.70°, 80.90° and 70.89°. The inequivalent atoms are C at (0.000, 0.000, 0.000) and C at (0.195, 0.611, 0.000).

Record 9
Material: C
Method: DFT, GGA-PBE
State: optimized geometry

The value obtained for the formation energy is 1.00 eV/atom. The calculation puts the energy above the most stable polymorph in this dataset at 1.00 eV/f.u.

The structure belongs to space group P-1 (No. 2); the cell edges are 1.283, 3.732 and 3.766 Å and the angles 119.62°, 98.16° and 90.82°. The inequivalent atoms are C at (0.000, 0.000, 0.000).

Record 10
Material: C
Method: DFT, GGA-PBE
State: optimized geometry

The value obtained for the formation energy is 1.17 eV/atom. The calculation puts the energy above the most stable polymorph in this dataset at 1.17 eV/f.u.

The structure belongs to space group I4/mmm (No. 139); the cell edges are 11.686, 11.686 and 6.830 Å and the angles 90.00°, 90.00° and 90.00°. The inequivalent atoms are C at (0.052, 0.195, 0.000), C at (0.178, 0.178, 0.000) and C at (0.229, 0.229, 0.178).

Record 11
Material: C
Method: DFT, GGA-PBE
State: optimized geometry

The value obtained for the formation energy is 0.54 eV/atom. The calculation puts the energy above the most stable polymorph in this dataset at 0.54 eV/f.u.

The structure belongs to space group P6_3/mmc (No. 194); the cell edges are 6.1292, 6.1292 and 2.5530 Å and the angles 90.00°, 90.00° and 120.00°. The inequivalent atoms are C at (0.0819, 0.4087, 0.2500).

Record 12
Material: C
Method: DFT, GGA-PBE
State: optimized geometry

The value obtained for the formation energy is 0.82 eV/atom. The calculation puts the energy above the most stable polymorph in this dataset at 0.82 eV/f.u.

The structure belongs to space group C2/m (No. 12); the cell edges are 7.006, 2.439 and 4.680 Å and the angles 90.00°, 114.78° and 90.00°. The inequivalent atoms are C at (0.000, 0.000, 0.000) and C at (0.195, 0.000, 0.000).

Record 13
Material: C
Method: DFT, GGA-PBE
State: optimized geometry

The value obtained for the formation energy is 1.31 eV/atom. The calculation puts the energy above the most stable polymorph in this dataset at 1.31 eV/f.u.

The structure belongs to space group I4_132 (No. 214); the cell edges are 4.125, 4.125 and 4.125 Å and the angles 90.00°, 90.00° and 90.00°. The inequivalent atoms are C at (0.125, 0.125, 0.125).

Record 14
Material: C
Method: DFT, GGA-PBE
State: optimized geometry

The value obtained for the formation energy is 0.60 eV/atom. The calculation puts the energy above the most stable polymorph in this dataset at 0.60 eV/f.u.

The structure belongs to space group I4/mmm (No. 139); the cell edges are 6.579, 6.579 and 2.522 Å and the angles 90.00°, 90.00° and 90.00°. The inequivalent atoms are C at (0.116, 0.288, 0.000).

Record 15
Material: C
Method: DFT, GGA-PBE
State: optimized geometry

The value obtained for the formation energy is 0.00 eV/atom. The calculation puts the energy above the most stable polymorph in this dataset at 0.00 eV/f.u.

The structure belongs to space group C2/m (No. 12); the cell edges are 4.275, 2.468 and 4.306 Å and the angles 90.00°, 97.20° and 90.00°. The inequivalent atoms are C at (0.167, 0.000, 0.000).

Record 16
Material: C
Method: DFT, GGA-PBE
State: optimized geometry

The value obtained for the formation energy is 2.60 eV/atom. The calculation puts the energy above the most stable polymorph in this dataset at 2.60 eV/f.u.

The structure belongs to space group I4/mmm (No. 139); the cell edges are 1.625, 1.625 and 7.860 Å and the angles 90.00°, 90.00° and 90.00°. The inequivalent atoms are C at (0.000, 0.000, 0.000).

Record 17
Material: C
Method: DFT, GGA-PBE
State: optimized geometry

The value obtained for the formation energy is 0.94 eV/atom. The calculation puts the energy above the most stable polymorph in this dataset at 0.94 eV/f.u.

The structure belongs to space group Cmmm (No. 65); the cell edges are 4.912, 5.487 and 6.904 Å and the angles 90.00°, 90.00° and 90.00°. The inequivalent atoms are C at (0.000, 0.126, 0.177) and C at (0.250, 0.250, 0.099).

Record 18
Material: C
Method: DFT, GGA-PBE
State: optimized geometry

The value obtained for the formation energy is 0.01 eV/atom. The calculation puts the energy above the most stable polymorph in this dataset at 0.01 eV/f.u.

The structure belongs to space group P-3m1 (No. 164); the cell edges are 2.4685, 2.4685 and 15.4586 Å and the angles 90.00°, 90.00° and 120.00°. The inequivalent atoms are C at (0.0000, 0.0000, 0.1303) and C at (0.3333, 0.6667, 0.8697).

Record 19
Material: C
Method: DFT, GGA-PBE
State: optimized geometry

The value obtained for the formation energy is 4.35 eV/atom. The calculation puts the energy above the most stable polymorph in this dataset at 4.35 eV/f.u.

The structure belongs to space group Im-3m (No. 229); the cell edges are 2.371, 2.371 and 2.371 Å and the angles 90.00°, 90.00° and 90.00°. The inequivalent atoms are C at (0.000, 0.000, 0.000).

Record 20
Material: C
Method: DFT, GGA-PBE
State: optimized geometry

The value obtained for the formation energy is 0.33 eV/atom. The calculation puts the energy above the most stable polymorph in this dataset at 0.33 eV/f.u.

The structure belongs to space group I4/mmm (No. 139); the cell edges are 4.381, 4.381 and 2.512 Å and the angles 90.00°, 90.00° and 90.00°. The inequivalent atoms are C at (0.180, 0.180, 0.000).

Record 21
Material: C
Method: DFT, GGA-PBE
State: optimized geometry

The value obtained for the formation energy is 0.52 eV/atom. The calculation puts the energy above the most stable polymorph in this dataset at 0.52 eV/f.u.

The structure belongs to space group Im-3m (No. 229); the cell edges are 4.384, 4.384 and 4.384 Å and the angles 90.00°, 90.00° and 90.00°. The inequivalent atoms are C at (0.000, 0.250, 0.500).

Record 22
Material: C
Method: DFT, GGA-PBE
State: optimized geometry

The value obtained for the formation energy is 0.00 eV/atom. The calculation puts the energy above the most stable polymorph in this dataset at 0.00 eV/f.u.

The structure belongs to space group P6_3/mmc (No. 194); the cell edges are 2.4682, 2.4682 and 25.4098 Å and the angles 90.00°, 90.00° and 120.00°. The inequivalent atoms are C at (0.0000, 0.0000, 0.2500), C at (0.3333, 0.6667, 0.0872), C at (0.3333, 0.6667, 0.2500) and C at (0.3333, 0.6667, 0.5872).

Record 23
Material: C
Method: DFT, GGA-PBE
State: optimized geometry

The value obtained for the formation energy is 0.76 eV/atom. The calculation puts the energy above the most stable polymorph in this dataset at 0.76 eV/f.u.

The structure belongs to space group Pm-3m (No. 221); the cell edges are 5.217, 5.217 and 5.217 Å and the angles 90.00°, 90.00° and 90.00°. The inequivalent atoms are C at (0.000, 0.348, 0.348) and C at (0.238, 0.238, 0.238).

Record 24
Material: C
Method: DFT, GGA-PBE
State: optimized geometry

The value obtained for the formation energy is 2.75 eV/atom. The calculation puts the energy above the most stable polymorph in this dataset at 2.75 eV/f.u.

The structure belongs to space group Pm-3m (No. 221); the cell edges are 1.784, 1.784 and 1.784 Å and the angles 90.00°, 90.00° and 90.00°. The inequivalent atoms are C at (0.000, 0.000, 0.000).

Record 25
Material: C
Method: DFT, GGA-PBE
State: optimized geometry

The value obtained for the formation energy is 0.88 eV/atom. The calculation puts the energy above the most stable polymorph in this dataset at 0.88 eV/f.u.

The structure belongs to space group I-4m2 (No. 119); the cell edges are 2.463, 2.463 and 6.440 Å and the angles 90.00°, 90.00° and 90.00°. The inequivalent atoms are C at (0.000, 0.000, 0.000) and C at (0.000, 0.500, 0.138).

no.,D(E_F) (states/eV/cell),DFT total energy (eV/atom),magnetic moment (μB/f.u.)
1,8.9,-3.34,0.47
2,28.9,-5.66,0.00
3,6.2,-5.16,0.00
4,3.9,-3.16,0.00
5,12.3,-5.28,0.80
6,6.2,-5.74,0.00
7,3.4,-5.83,0.00
8,0.8,-8.39,0.00
9,0.4,-8.23,0.00
10,0.0,-8.06,0.00
11,0.0,-8.69,0.00
12,1.6,-8.41,0.00
13,7.2,-7.92,0.00
14,0.0,-8.62,0.00
15,0.0,-9.22,0.00
16,0.7,-6.62,0.00
17,0.7,-8.29,0.00
18,0.3,-9.22,0.00
19,0.3,-4.88,0.00
20,0.0,-8.89,0.00
21,0.0,-8.71,0.00
22,0.0,-9.22,0.00
23,4.9,-8.46,0.00
24,0.5,-6.47,0.00
25,1.1,-8.35,0.00